First-principles (PBE) data for a relaxed structure of Na2NiI, as listed in Alexandria via LeMat-Bulk.

Summary:
Formation energy (no corrections)   120 meV per atom
Raw total energy   -2.37 eV per atom
ΔE to the lowest computed polymorph   1 kJ/mol of formula units
Symmetry   I-42d, No. 122
Total magnetization   0.000 μB per atom

Lattice parameters (Å, degrees): 8.4062 8.4062 6.5987 50.43 50.43 90.00
Atoms (fractional coordinates):
Na  0.3750  0.4210  0.7500
Na  0.1710  0.6250  0.2500
Na  0.8750  0.8290  0.7500
Na  0.5790  0.1250  0.2500
Ni  0.2500  0.7500  0.5000
Ni  0.5000  0.5000  0.0000
I  0.7500  0.2500  0.5000
I  0.0000  0.0000  0.0000